Record 1
Below is Dy7Er12In after structural relaxation, with properties calculated at the PBE-GGA level.

**V**: 31.4 Å³ per atom
**Energy of formation**: 3.4 eV/f.u.

a = 11.8655 Å, b = 11.8655 Å, c = 15.4740 Å
α = 90.00°, β = 90.00°, γ = 120.00°
Closest atoms and distances in Å follow each position.
Space group R-3 (No. 148, hexagonal axes)
Asymmetric unit:
Dy  0.0000  0.0000  0.0000 [3 per cell]  6 Er 3.19
Dy  0.0560  0.1879  0.2978 [18 per cell]  3 Dy 3.31-3.43, 6 Er 3.46-3.70, 1 In 3.70
Er  0.0342  0.4564  0.2133 [18 per cell]  1 In 3.24, 5 Er 3.25-3.47, 2 Dy 3.51-3.57
Er  0.0552  0.5845  0.5856 [18 per cell]  4 Er 3.18-3.41, 2 Dy 3.19-3.46
In  0.0000  0.0000  0.5000 [3 per cell]  6 Er 3.24

=====

Record 2
Below is Dy8Er3In2 after structural relaxation, with properties calculated at the PBE-GGA level.

**V**: 31.7 Å³ per atom
**Energy of formation**: 0.3 eV/f.u.

a = 8.1803 Å, b = 18.2999 Å, c = 5.5057 Å
α = 90.00°, β = 90.00°, γ = 90.00°
Closest atoms and distances in Å follow each position.
Space group Cmmm (No. 65)
Asymmetric unit:
Dy  0.0000  0.1292  0.0000 [4 per cell]  2 In 3.33, 4 Er 3.39-3.63, 5 Dy 3.54-3.66
Dy  0.0000  0.3228  0.0000 [4 per cell]  2 In 3.22, 5 Dy 3.42-3.54
Dy  0.2062  0.3838  0.5000 [8 per cell]  2 In 3.20-3.25, 3 Er 3.21-3.48, 3 Dy 3.37-3.42
Er  0.0000  0.0000  0.5000 [2 per cell]  4 Dy 3.21
Er  0.2030  0.5000  0.0000 [4 per cell]  3 Er 3.32-3.67, 8 Dy 3.39-3.64
In  0.0000  0.2320  0.5000 [4 per cell]  8 Dy 3.20-3.33

=====

Record 3
Below is DyErIn3 after structural relaxation, with properties calculated at the PBE-GGA level.

**V**: 29.3 Å³ per atom
**Energy of formation**: -0.4 eV/f.u.

a = 7.3066 Å, b = 7.3066 Å, c = 6.3277 Å
α = 90.00°, β = 90.00°, γ = 120.00°
Closest atoms and distances in Å follow each position.
Space group P6_3/mmc (No. 194)
Asymmetric unit:
Dy  0.0000  0.0000  0.0000 [2 per cell]  6 In 3.02, 2 Dy 3.16
Er  0.3333  0.6667  0.2500 [2 per cell]  12 In 3.57-3.68
In  0.2029  0.4057  0.7500 [6 per cell]  2 In 2.86, 2 Dy 3.02

=====

Record 4
Below is DyEr7In2 after structural relaxation, with properties calculated at the PBE-GGA level.

**V**: 37.2 Å³ per atom
**Energy of formation**: 3.6 eV/f.u.

a = 9.0608 Å, b = 15.3079 Å, c = 5.3704 Å
α = 90.00°, β = 90.00°, γ = 90.00°
Closest atoms and distances in Å follow each position.
Space group Cmmm (No. 65)
Asymmetric unit:
Dy  0.0000  0.0000  0.0000 [2 per cell]  10 Er 3.48-3.65
Er  0.0000  0.2272  0.0000 [4 per cell]  2 In 2.93
Er  0.0000  0.5000  0.5000 [2 per cell]  2 In 3.00
Er  0.1808  0.1212  0.5000 [8 per cell]  2 In 3.11-3.24, 2 Er 3.28-3.44
In  0.0000  0.3039  0.5000 [4 per cell]  7 Er 2.93-3.24

=====

Record 5
Below is Dy5Er3In2 after structural relaxation, with properties calculated at the PBE-GGA level.

**V**: 31.2 Å³ per atom
**Energy of formation**: 1.3 eV/f.u.

a = 12.7085 Å, b = 15.6008 Å, c = 6.2968 Å
α = 90.00°, β = 90.00°, γ = 90.00°
Closest atoms and distances in Å follow each position.
Space group Ibam (No. 72)
Asymmetric unit:
Dy  0.0000  0.0000  0.2500 [4 per cell]  8 Dy 3.15-3.42
Dy  0.1283  0.1642  0.0000 [8 per cell]  1 In 2.95
Dy  0.2494  0.5000  0.2500 [8 per cell]  2 In 3.14, 5 Dy 3.15-3.39, 1 Er 3.17
Er  0.0000  0.5000  0.2500 [4 per cell]  2 Er 3.15, 2 Dy 3.17, 4 In 3.26
Er  0.1069  0.2707  0.5000 [8 per cell]  3 In 3.32-3.42, 4 Dy 3.42-3.57
In  0.1339  0.3535  0.0000 [8 per cell]  3 Dy 2.95-3.14, 2 Er 3.26

=====

Record 6
Below is Dy12Er7In after structural relaxation, with properties calculated at the PBE-GGA level.

**V**: 31.6 Å³ per atom
**Energy of formation**: 3.4 eV/f.u.

a = 11.9680 Å, b = 11.9680 Å, c = 15.2960 Å
α = 90.00°, β = 90.00°, γ = 120.00°
Closest atoms and distances in Å follow each position.
Space group R-3 (No. 148, hexagonal axes)
Asymmetric unit:
Dy  0.0314  0.5775  0.2109 [18 per cell]  5 Dy 3.23-3.49, 1 In 3.29, 2 Er 3.53-3.60
Dy  0.0565  0.4699  0.5862 [18 per cell]  2 Er 3.20-3.47, 4 Dy 3.20-3.42
Er  0.0000  0.0000  0.0000 [3 per cell]  6 Dy 3.20
Er  0.0516  0.8641  0.3020 [18 per cell]  3 Er 3.33-3.48, 5 Dy 3.47-3.70, 1 In 3.63
In  0.0000  0.0000  0.5000 [3 per cell]  6 Dy 3.29, 6 Er 3.63